DFT (meta-GGA SCAN) results for a PBEsol-optimized structure of TlSbSeI2.

Computed properties:
Formation energy (no corrections)   0.20 eV per atom

Cell lengths 5.674, 5.674, 5.491 Å; angles 90.00, 90.00, 90.00 degrees
Fractional coordinates of all 5 atoms:
Tl: 0.000 0.000 0.000
Sb: 0.500 0.500 0.000
Se: 0.500 0.500 0.500
I: 0.000 0.500 0.500
I: 0.500 0.000 0.500


DFT (meta-GGA SCAN) results for a PBEsol-optimized structure of K5V3O10.

Computed properties:
Formation energy (no corrections)   -2.51 eV per atom

Cell lengths 8.130, 8.130, 18.705 Å; angles 90.00, 90.00, 90.00 degrees
Fractional coordinates of all 72 atoms:
K: 0.002 0.028 0.140
K: 0.012 0.522 0.884
K: 0.022 0.488 0.634
K: 0.028 0.002 0.860
K: 0.236 0.764 0.250
K: 0.264 0.264 0.000
K: 0.472 0.502 0.390
K: 0.478 0.988 0.616
K: 0.488 0.022 0.366
K: 0.498 0.528 0.110
K: 0.502 0.472 0.610
K: 0.512 0.978 0.866
K: 0.522 0.012 0.116
K: 0.528 0.498 0.890
K: 0.736 0.736 0.500
K: 0.764 0.236 0.750
K: 0.972 0.998 0.360
K: 0.978 0.512 0.134
K: 0.988 0.478 0.384
K: 0.998 0.972 0.640
V: 0.190 0.190 0.500
V: 0.229 0.763 0.483
V: 0.237 0.771 0.017
V: 0.263 0.271 0.233
V: 0.271 0.263 0.767
V: 0.310 0.690 0.750
V: 0.690 0.310 0.250
V: 0.729 0.737 0.267
V: 0.737 0.729 0.733
V: 0.763 0.229 0.517
V: 0.771 0.237 0.983
V: 0.810 0.810 0.000
O: 0.024 0.781 0.986
O: 0.060 0.662 0.511
O: 0.094 0.183 0.737
O: 0.162 0.440 0.261
O: 0.183 0.094 0.263
O: 0.215 0.755 0.823
O: 0.219 0.976 0.514
O: 0.232 0.761 0.392
O: 0.239 0.768 0.108
O: 0.245 0.785 0.677
O: 0.255 0.285 0.573
O: 0.261 0.268 0.142
O: 0.268 0.261 0.858
O: 0.281 0.476 0.736
O: 0.285 0.255 0.427
O: 0.317 0.594 0.987
O: 0.338 0.940 0.989
O: 0.406 0.683 0.513
O: 0.440 0.162 0.739
O: 0.476 0.281 0.264
O: 0.524 0.719 0.764
O: 0.560 0.838 0.239
O: 0.594 0.317 0.013
O: 0.662 0.060 0.489
O: 0.683 0.406 0.487
O: 0.715 0.745 0.927
O: 0.719 0.524 0.236
O: 0.732 0.739 0.358
O: 0.739 0.732 0.642
O: 0.745 0.715 0.073
O: 0.755 0.215 0.177
O: 0.761 0.232 0.608
O: 0.768 0.239 0.892
O: 0.781 0.024 0.014
O: 0.785 0.245 0.323
O: 0.817 0.906 0.763
O: 0.838 0.560 0.761
O: 0.906 0.817 0.237
O: 0.940 0.338 0.011
O: 0.976 0.219 0.486


DFT (meta-GGA SCAN) results for a PBEsol-optimized structure of Mo2PbCl.

Computed properties:
Formation energy (no corrections)   0.83 eV per atom

Cell lengths 2.913, 4.805, 5.130 Å; angles 90.00, 90.00, 90.00 degrees
Fractional coordinates of all 4 atoms:
Mo: 0.000 0.000 0.000
Mo: 0.500 0.000 0.500
Pb: 0.000 0.500 0.500
Cl: 0.500 0.500 0.000